No. 1
Material: SrHf2SbO8
Method: DFT, PBE-GGA
State: optimized geometry

**Uncorrected energy**: -8.006 eV/atom
**N(E_F)**: 3.96 states/eV/f.u.
**ΔE_f (raw)**: -30.696 eV per formula unit

a = 4.9107 Å, b = 4.9092 Å, c = 6.8331 Å
α = 90.00°, β = 90.00°, γ = 88.43°
Last column: nearest neighbours and their distance in Å.
Sites, in units of the cell vectors:
Sr 0.0000 0.0000 0.5000  6 O 2.37-2.44
Hf 0.5000 0.5000 0.7593  6 O 2.05-2.18
Hf 0.5000 0.5000 0.2407  6 O 2.05-2.18
Sb 0.0000 0.0000 0.0000  6 O 1.98-2.09
O 0.2027 0.7966 0.2069  1 Sb 1.98, 1 Hf 2.05
O 0.7025 0.7031 0.0000  1 Sb 2.09, 2 Hf 2.18
O 0.7973 0.2034 0.2069  1 Sb 1.98, 1 Hf 2.05
O 0.7973 0.2034 0.7931  1 Sb 1.98, 1 Hf 2.05
O 0.2975 0.2969 0.0000  1 Sb 2.09, 2 Hf 2.18
O 0.2027 0.7966 0.7931  1 Sb 1.98, 1 Hf 2.05
O 0.6623 0.6636 0.5000  2 Hf 2.11, 1 O 2.29
O 0.3377 0.3364 0.5000  2 Hf 2.11, 1 O 2.29

---

No. 2
Material: In2BiAs
Method: DFT, PBE-GGA
State: optimized geometry

**Uncorrected energy**: -3.326 eV/atom
**N(E_F)**: 3.04 states/eV/f.u.
**Formation energy**: 0.176 eV/atom

a = 5.3071 Å, b = 5.3071 Å, c = 5.3071 Å
α = 60.00°, β = 60.00°, γ = 60.00°
Last column: nearest neighbours and their distance in Å.
Sites, in units of the cell vectors:
As 0.0000 0.0000 0.0000  8 In 3.25
Bi 0.5000 0.5000 0.5000  8 In 3.25
In 0.2500 0.2500 0.2500  4 Bi 3.25, 4 As 3.25
In 0.7500 0.7500 0.7500  4 Bi 3.25, 4 As 3.25

---

No. 3
Material: TaPbAu2
Method: DFT, PBE-GGA
State: optimized geometry

**Uncorrected energy**: -5.264 eV/atom
**N(E_F)**: 2.41 states/eV/f.u.
**Formation energy**: 0.265 eV/atom

a = 5.1814 Å, b = 5.1814 Å, c = 5.4040 Å
α = 80.08°, β = 80.08°, γ = 34.90°
Last column: nearest neighbours and their distance in Å.
Sites, in units of the cell vectors:
Au 0.0143 0.0143 0.9701  3 Ta 2.87-3.06, 4 Au 2.90-3.11, 3 Pb 3.00-3.18
Au 0.4857 0.4857 0.5299  3 Ta 2.87-3.06, 4 Au 2.90-3.11, 3 Pb 3.00-3.18
Pb 0.2500 0.2500 0.2500  6 Au 3.00-3.18, 2 Pb 3.11, 4 Ta 3.12
Ta 0.7500 0.7500 0.7500  6 Au 2.87-3.06, 2 Ta 3.11, 4 Pb 3.12

---

Look up the uncorrected energy of the second one. -3.326 eV/atom